Ba4MoIr | PBE-GGA | optimized geometry

The structure in POSCAR format:
```
Ba4MoIr
1.0
0.000 4.791 4.791
4.791 0.000 4.791
4.791 4.791 0.000
Ba Mo Ir
4 1 1
direct
0.124 0.124 0.124 Ba
0.124 0.124 0.627 Ba
0.124 0.627 0.124 Ba
0.627 0.124 0.124 Ba
0.500 0.500 0.500 Mo
0.750 0.750 0.750 Ir
```

Computed properties:
Total magnetic moment ... 4.61 μB/f.u.
E_form ... 1.469 eV/atom
SG ... F-43m (216)